Entry 1:
DFT (PBE) results for a geometry-optimized HoAlCo2H6 structure.

Unit cell a=4.175 b=4.175 c=5.680 alpha=68.44 beta=68.44 gamma=60.00
Fractional coordinates of all 10 atoms:
1 Ho 0.000 0.000 0.000
2 Co 0.210 0.210 0.370
3 Co 0.790 0.790 0.630
4 H 0.065 0.562 0.810
5 H 0.563 0.065 0.810
6 H 0.438 0.437 0.190
7 H 0.562 0.563 0.810
8 H 0.437 0.935 0.190
9 H 0.935 0.438 0.190
10 Al 0.500 0.500 0.500

Summary:
As for the spin magnetization: 0.0 μB/f.u. The volume is 77.6 Å³ per cell. The calculation puts the raw total energy at -46.1 eV for the cell shown. As for the density of states at the Fermi level: 0.12 states/eV/atom.



Entry 2:
DFT (PBE) results for a geometry-optimized PuMgCrIr structure.

Unit cell a=4.640 b=4.640 c=4.640 alpha=60.00 beta=60.00 gamma=60.00
Site moments in Bohr magnetons follow the coordinates.
Fractional coordinates of all 4 atoms:
1 Mg 0.500 0.500 0.500  0.01
2 Cr 0.750 0.750 0.750  -2.77
3 Pu 0.000 0.000 0.000  4.80
4 Ir 0.250 0.250 0.250  -0.16

Summary:
The formation energy is -0.111 eV per atom. As for the spin magnetization: 1.8 μB/f.u. The volume is 70.6 Å³ per cell. The calculation puts the raw total energy at -34.9 eV for the cell shown. As for the density of states at the Fermi level: 0.98 states/eV/atom.



Entry 3:
DFT (PBE) results for a geometry-optimized Sr2CaCdRh structure.

Unit cell a=6.488 b=6.488 c=4.755 alpha=90.00 beta=90.00 gamma=90.00
Fractional coordinates of all 5 atoms:
1 Sr 0.000 0.500 0.000
2 Sr 0.500 0.000 0.000
3 Cd 0.500 0.500 0.500
4 Rh 0.000 0.000 0.500
5 Ca 0.000 0.000 0.000

Summary:
The formation energy is 0.516 eV per atom. As for the spin magnetization: 0.0 μB/f.u. For the energy above the most stable polymorph in this dataset, the calculation gives 68.9 kJ/mol of atoms. The volume is 200.2 Å³ per cell. The calculation puts the raw total energy at -11.1 eV for the cell shown. As for the density of states at the Fermi level: 0.91 states/eV/atom.



Entry 4:
DFT (PBE) results for a geometry-optimized LaNi2Mo structure.

Unit cell a=3.057 b=4.715 c=4.715 alpha=90.00 beta=90.00 gamma=90.00
Site moments in Bohr magnetons follow the coordinates.
Fractional coordinates of all 4 atoms:
1 Mo 0.500 0.000 0.500  1.16
2 La 0.500 0.500 0.000  0.02
3 Ni 0.000 0.000 0.000  0.23
4 Ni 0.000 0.500 0.500  0.23

Summary:
The formation energy is 0.270 eV per atom. As for the spin magnetization: 1.8 μB/f.u. For the energy above the most stable polymorph in this dataset, the calculation gives 31.8 kJ/mol of atoms. The volume is 68.0 Å³ per cell. The calculation puts the raw total energy at -26.2 eV for the cell shown. As for the density of states at the Fermi level: 1.00 states/eV/atom.



Entry 5:
DFT (PBE) results for a geometry-optimized K2SrTc structure.

Unit cell a=13.488 b=13.488 c=13.488 alpha=16.31 beta=16.31 gamma=16.31
Site moments in Bohr magnetons follow the coordinates.
Fractional coordinates of all 4 atoms:
1 K 0.485 0.485 0.485  -0.01
2 K 0.015 0.015 0.015  -0.01
3 Tc 0.750 0.750 0.750  2.75
4 Sr 0.250 0.250 0.250  0.01

Summary:
The formation energy is 1.219 eV per atom. As for the spin magnetization: 3.2 μB/f.u. For the energy above the most stable polymorph in this dataset, the calculation gives 34.2 kJ/mol of atoms. The volume is 168.7 Å³ per cell. The calculation puts the raw total energy at -9.4 eV for the cell shown. As for the density of states at the Fermi level: 1.30 states/eV/atom.



raw total energy of number 3 (Sr2CaCdRh)? -11.1 eV for the cell shown



The highest spin magnetization belongs to which entry? K2SrTc



Among the records above, which one has the lowest raw total energy? HoAlCo2H6



What is the formula in the fourth record? LaNi2Mo